Entry 1:
## Cd2PbCl (GGA-PBE)

Data for crystalline Cd2PbCl at its relaxed geometry.

Results
As for the final energy: -2.03 eV/atom. The value obtained for the density of states at the Fermi level is 1.66 states/eV per cell. The total magnetization is 0.00 μB per formula unit.

a b c (Å): 5.3717 5.3717 3.5929
angles (deg): 90.00 90.00 90.00
Fractional positions:
Cd 0.0000 0.5000 0.0000
Cd 0.5000 0.0000 0.0000
Pb 0.0000 0.0000 0.5000
Cl 0.5000 0.5000 0.5000

***

Entry 2:
## Cd2PbCl (GGA-PBE)

Data for crystalline Cd2PbCl at its relaxed geometry.

Results
As for the final energy: -2.10 eV/atom. The value obtained for the density of states at the Fermi level is 1.13 states/eV per cell. The total magnetization is 0.00 μB per formula unit.

a b c (Å): 3.9267 3.9267 25.1982
angles (deg): 90.00 90.00 120.00
Fractional positions:
Cd 0.0000 0.0000 0.2459
Cd 0.0000 0.0000 0.7541
Cd 0.3333 0.6667 0.4208
Cd 0.3333 0.6667 0.9126
Cd 0.6667 0.3333 0.0874
Cd 0.6667 0.3333 0.5792
Pb 0.0000 0.0000 0.0000
Pb 0.3333 0.6667 0.6667
Pb 0.6667 0.3333 0.3333
Cl 0.0000 0.0000 0.5000
Cl 0.3333 0.6667 0.1667
Cl 0.6667 0.3333 0.8333

***

Entry 3:
## CdPb2Cl (GGA-PBE)

Data for crystalline CdPb2Cl at its relaxed geometry.

Results
As for the final energy: -2.69 eV/atom. The value obtained for the density of states at the Fermi level is 3.28 states/eV per cell. The total magnetization is 0.00 μB per formula unit.

a b c (Å): 4.9415 4.9415 9.1162
angles (deg): 90.00 90.00 90.00
Fractional positions:
Cd 0.0000 0.0000 0.0000
Cd 0.5000 0.5000 0.5000
Pb 0.0000 0.5000 0.2500
Pb 0.0000 0.5000 0.7500
Pb 0.5000 0.0000 0.2500
Pb 0.5000 0.0000 0.7500
Cl 0.0000 0.0000 0.5000
Cl 0.5000 0.5000 0.0000

***

Entry 4:
## Cd2PbCl (GGA-PBE)

Data for crystalline Cd2PbCl at its relaxed geometry.

Results
As for the final energy: -2.08 eV/atom. The value obtained for the density of states at the Fermi level is 4.32 states/eV per cell. The total magnetization is 0.00 μB per formula unit.

a b c (Å): 3.8090 5.7828 9.4902
angles (deg): 90.00 90.00 90.00
Fractional positions:
Cd 0.0000 0.0000 0.0000
Cd 0.0000 0.5000 0.2359
Cd 0.5000 0.0000 0.2359
Cd 0.5000 0.5000 0.0000
Pb 0.0000 0.5000 0.7233
Pb 0.5000 0.0000 0.7233
Cl 0.0000 0.0000 0.4404
Cl 0.5000 0.5000 0.4404

***

Entry 5:
## Cd3PbCl (GGA-PBE)

Data for crystalline Cd3PbCl at its relaxed geometry.

Results
As for the final energy: -1.38 eV/atom. The value obtained for the density of states at the Fermi level is 3.18 states/eV per cell. The total magnetization is 0.00 μB per formula unit.

a b c (Å): 5.4302 5.4302 5.4302
angles (deg): 90.00 90.00 90.00
Fractional positions:
Cd 0.0000 0.0000 0.5000
Cd 0.0000 0.5000 0.0000
Cd 0.5000 0.0000 0.0000
Pb 0.5000 0.5000 0.5000
Cl 0.0000 0.0000 0.0000

***

Entry 6:
## Cd2PbCl (GGA-PBE)

Data for crystalline Cd2PbCl at its relaxed geometry.

Results
As for the final energy: -1.99 eV/atom. The value obtained for the density of states at the Fermi level is 4.75 states/eV per cell. The total magnetization is 0.00 μB per formula unit.

a b c (Å): 4.7198 4.7198 9.5216
angles (deg): 90.00 90.00 90.00
Fractional positions:
Cd 0.0000 0.0000 0.0000
Cd 0.0000 0.5000 0.2500
Cd 0.5000 0.0000 0.7500
Cd 0.5000 0.5000 0.5000
Pb 0.0000 0.0000 0.5000
Pb 0.5000 0.5000 0.0000
Cl 0.0000 0.5000 0.7500
Cl 0.5000 0.0000 0.2500

***

Entry 7:
## Cd2PbCl (GGA-PBE)

Data for crystalline Cd2PbCl at its relaxed geometry.

Results
As for the final energy: -2.06 eV/atom. The value obtained for the density of states at the Fermi level is 3.19 states/eV per cell. The total magnetization is 0.00 μB per formula unit.

a b c (Å): 5.9264 11.7269 3.6271
angles (deg): 90.00 121.77 90.00
Fractional positions:
Cd 0.2500 0.2500 0.0000
Cd 0.2500 0.7500 0.0000
Cd 0.7500 0.2500 0.0000
Cd 0.7500 0.7500 0.0000
Pb 0.0000 0.0000 0.5000
Pb 0.5000 0.5000 0.5000
Cl 0.0000 0.5000 0.5000
Cl 0.5000 0.0000 0.5000

***

Entry 8:
## CdPb2Cl (GGA-PBE)

Data for crystalline CdPb2Cl at its relaxed geometry.

Results
As for the final energy: -2.67 eV/atom. The value obtained for the density of states at the Fermi level is 17.06 states/eV per cell. The total magnetization is 0.00 μB per formula unit.

a b c (Å): 7.5886 7.5886 7.5886
angles (deg): 90.00 90.00 90.00
Fractional positions:
Cd 0.0000 0.0000 0.0000
Cd 0.0000 0.5000 0.5000
Cd 0.5000 0.0000 0.5000
Cd 0.5000 0.5000 0.0000
Pb 0.2500 0.2500 0.2500
Pb 0.2500 0.2500 0.7500
Pb 0.2500 0.7500 0.2500
Pb 0.2500 0.7500 0.7500
Pb 0.7500 0.2500 0.2500
Pb 0.7500 0.2500 0.7500
Pb 0.7500 0.7500 0.2500
Pb 0.7500 0.7500 0.7500
Cl 0.0000 0.0000 0.5000
Cl 0.0000 0.5000 0.0000
Cl 0.5000 0.0000 0.0000
Cl 0.5000 0.5000 0.5000

***

Entry 9:
## CdPb2Cl (GGA-PBE)

Data for crystalline CdPb2Cl at its relaxed geometry.

Results
As for the final energy: -2.77 eV/atom. The value obtained for the density of states at the Fermi level is 1.64 states/eV per cell. The total magnetization is 0.00 μB per formula unit.

a b c (Å): 3.4809 3.4809 9.3987
angles (deg): 90.00 90.00 90.00
Fractional positions:
Cd 0.0000 0.0000 0.0000
Pb 0.0000 0.0000 0.4880
Pb 0.5000 0.5000 0.7518
Cl 0.5000 0.5000 0.1711

***

Entry 10:
## CdPb2Cl (GGA-PBE)

Data for crystalline CdPb2Cl at its relaxed geometry.

Results
As for the final energy: -2.82 eV/atom. The value obtained for the density of states at the Fermi level is 1.05 states/eV per cell. The total magnetization is 0.00 μB per formula unit.

a b c (Å): 3.6291 5.7452 5.7368
angles (deg): 90.00 100.60 90.00
Fractional positions:
Cd 0.0000 0.0000 0.0000
Pb 0.3044 0.0000 0.5258
Pb 0.7992 0.5000 0.4879
Cl 0.6517 0.5000 0.9902

***

Entry 11:
## CdPb2Cl (GGA-PBE)

Data for crystalline CdPb2Cl at its relaxed geometry.

Results
As for the final energy: -2.65 eV/atom. The value obtained for the density of states at the Fermi level is 2.94 states/eV per cell. The total magnetization is 0.00 μB per formula unit.

a b c (Å): 4.8540 4.8540 4.8515
angles (deg): 90.00 90.00 90.00
Fractional positions:
Cd 0.0000 0.0000 0.0000
Pb 0.0000 0.5000 0.5000
Pb 0.5000 0.0000 0.5000
Cl 0.5000 0.5000 0.0000

***

Entry 12:
## Cd5Pb3Cl12 (GGA-PBE)

Data for crystalline Cd5Pb3Cl12 at its relaxed geometry.

Results
As for the final energy: -2.67 eV/atom. The value obtained for the density of states at the Fermi level is 12.37 states/eV per cell. The total magnetization is 0.00 μB per formula unit.

a b c (Å): 14.8470 14.8470 14.8470
angles (deg): 109.47 109.47 109.47
Fractional positions:
Cd 0.0000 0.0000 0.0000
Cd 0.0000 0.0000 0.5000
Cd 0.0000 0.5000 0.0000
Cd 0.0000 0.5000 0.5000
Cd 0.1250 0.7500 0.8750
Cd 0.1250 0.8750 0.2500
Cd 0.2500 0.1250 0.8750
Cd 0.2500 0.6250 0.3750
Cd 0.3750 0.2500 0.6250
Cd 0.3750 0.6250 0.7500
Cd 0.5000 0.0000 0.0000
Cd 0.5000 0.0000 0.5000
Cd 0.5000 0.5000 0.0000
Cd 0.5000 0.5000 0.5000
Cd 0.6250 0.3750 0.2500
Cd 0.6250 0.7500 0.3750
Cd 0.7500 0.3750 0.6250
Cd 0.7500 0.8750 0.1250
Cd 0.8750 0.1250 0.7500
Cd 0.8750 0.2500 0.1250
Pb 0.1250 0.2500 0.3750
Pb 0.1250 0.3750 0.7500
Pb 0.2500 0.3750 0.1250
Pb 0.2500 0.8750 0.6250
Pb 0.3750 0.1250 0.2500
Pb 0.3750 0.7500 0.1250
Pb 0.6250 0.2500 0.8750
Pb 0.6250 0.8750 0.7500
Pb 0.7500 0.1250 0.3750
Pb 0.7500 0.6250 0.8750
Pb 0.8750 0.6250 0.2500
Pb 0.8750 0.7500 0.6250
Cl 0.0439 0.2359 0.1387
Cl 0.0439 0.3080 0.9052
Cl 0.0948 0.6387 0.4028
Cl 0.0948 0.9561 0.6920
Cl 0.0972 0.7359 0.6920
Cl 0.0972 0.8613 0.4052
Cl 0.1387 0.0439 0.2359
Cl 0.1387 0.5948 0.9028
Cl 0.1920 0.2359 0.5972
Cl 0.1920 0.4561 0.5948
Cl 0.2359 0.1387 0.0439
Cl 0.2359 0.5972 0.1920
Cl 0.2641 0.3080 0.9028
Cl 0.2641 0.4561 0.3613
Cl 0.3080 0.9028 0.2641
Cl 0.3080 0.9052 0.0439
Cl 0.3613 0.2641 0.4561
Cl 0.3613 0.5972 0.9052
Cl 0.4028 0.0948 0.6387
Cl 0.4028 0.8080 0.7641
Cl 0.4052 0.0972 0.8613
Cl 0.4052 0.8080 0.5439
Cl 0.4561 0.3613 0.2641
Cl 0.4561 0.5948 0.1920
Cl 0.5439 0.4052 0.8080
Cl 0.5439 0.6387 0.7359
Cl 0.5948 0.1920 0.4561
Cl 0.5948 0.9028 0.1387
Cl 0.5972 0.1920 0.2359
Cl 0.5972 0.9052 0.3613
Cl 0.6387 0.4028 0.0948
Cl 0.6387 0.7359 0.5439
Cl 0.6920 0.0948 0.9561
Cl 0.6920 0.0972 0.7359
Cl 0.7359 0.5439 0.6387
Cl 0.7359 0.6920 0.0972
Cl 0.7641 0.4028 0.8080
Cl 0.7641 0.8613 0.9561
Cl 0.8080 0.5439 0.4052
Cl 0.8080 0.7641 0.4028
Cl 0.8613 0.4052 0.0972
Cl 0.8613 0.9561 0.7641
Cl 0.9028 0.1387 0.5948
Cl 0.9028 0.2641 0.3080
Cl 0.9052 0.0439 0.3080
Cl 0.9052 0.3613 0.5972
Cl 0.9561 0.6920 0.0948
Cl 0.9561 0.7641 0.8613

***

Entry 13:
## Cd2PbCl (GGA-PBE)

Data for crystalline Cd2PbCl at its relaxed geometry.

Results
As for the final energy: -2.08 eV/atom. The value obtained for the density of states at the Fermi level is 3.03 states/eV per cell. The total magnetization is 0.00 μB per formula unit.

a b c (Å): 3.3466 5.0188 13.0402
angles (deg): 90.00 90.00 90.00
Fractional positions:
Cd 0.0000 0.0000 0.2241
Cd 0.0000 0.0000 0.7759
Cd 0.5000 0.5000 0.2759
Cd 0.5000 0.5000 0.7241
Pb 0.0000 0.5000 0.5000
Pb 0.5000 0.0000 0.0000
Cl 0.0000 0.5000 0.0000
Cl 0.5000 0.0000 0.5000

***

Entry 14:
## CdPb2Cl (GGA-PBE)

Data for crystalline CdPb2Cl at its relaxed geometry.

Results
As for the final energy: -2.75 eV/atom. The value obtained for the density of states at the Fermi level is 5.95 states/eV per cell. The total magnetization is 0.00 μB per formula unit.

a b c (Å): 7.9866 8.0128 3.4316
angles (deg): 90.00 90.00 90.00
Fractional positions:
Cd 0.0000 0.0000 0.0000
Cd 0.5000 0.5000 0.0000
Pb 0.2500 0.2500 0.5000
Pb 0.2500 0.7500 0.5000
Pb 0.7500 0.2500 0.5000
Pb 0.7500 0.7500 0.5000
Cl 0.0000 0.5000 0.0000
Cl 0.5000 0.0000 0.0000

***

Entry 15:
## CdPb2Cl (GGA-PBE)

Data for crystalline CdPb2Cl at its relaxed geometry.

Results
As for the final energy: -2.77 eV/atom. The value obtained for the density of states at the Fermi level is 3.18 states/eV per cell. The total magnetization is 0.00 μB per formula unit.

a b c (Å): 3.6287 5.9131 10.3805
angles (deg): 90.00 90.00 90.00
Fractional positions:
Cd 0.0000 0.0000 0.0000
Cd 0.5000 0.5000 0.0000
Pb 0.0000 0.5000 0.2650
Pb 0.0000 0.5000 0.7350
Pb 0.5000 0.0000 0.2650
Pb 0.5000 0.0000 0.7350
Cl 0.0000 0.0000 0.5000
Cl 0.5000 0.5000 0.5000

***

Entry 16:
## CdPb4Cl (GGA-PBE)

Data for crystalline CdPb4Cl at its relaxed geometry.

Results
As for the final energy: -2.87 eV/atom. The value obtained for the density of states at the Fermi level is 3.51 states/eV per cell. The total magnetization is 0.00 μB per formula unit.

a b c (Å): 6.4870 6.4870 6.4870
angles (deg): 60.00 60.00 60.00
Fractional positions:
Cd 0.0000 0.0000 0.0000
Pb 0.3744 0.3744 0.3744
Pb 0.3744 0.3744 0.8767
Pb 0.3744 0.8767 0.3744
Pb 0.8767 0.3744 0.3744
Cl 0.7500 0.7500 0.7500

***

Entry 17:
## CdPb2Cl4 (GGA-PBE)

Data for crystalline CdPb2Cl4 at its relaxed geometry.

Results
As for the final energy: -2.99 eV/atom. The value obtained for the density of states at the Fermi level is 4.08 states/eV per cell. The total magnetization is 0.00 μB per formula unit.

a b c (Å): 8.4862 13.6123 3.6874
angles (deg): 90.00 90.00 90.00
Fractional positions:
Cd 0.0000 0.0000 0.0000
Cd 0.5000 0.5000 0.0000
Pb 0.0707 0.3422 0.5000
Pb 0.4293 0.8422 0.5000
Pb 0.5707 0.1578 0.5000
Pb 0.9293 0.6579 0.5000
Cl 0.1263 0.7829 0.0000
Cl 0.1942 0.5419 0.5000
Cl 0.3058 0.0419 0.5000
Cl 0.3737 0.2829 0.0000
Cl 0.6263 0.7171 0.0000
Cl 0.6942 0.9581 0.5000
Cl 0.8058 0.4581 0.5000
Cl 0.8737 0.2171 0.0000

***

Entry 18:
## Cd3PbCl (GGA-PBE)

Data for crystalline Cd3PbCl at its relaxed geometry.

Results
As for the final energy: -1.61 eV/atom. The value obtained for the density of states at the Fermi level is 1.39 states/eV per cell. The total magnetization is 0.00 μB per formula unit.

a b c (Å): 5.7218 5.7218 5.7218
angles (deg): 90.00 90.00 90.00
Fractional positions:
Cd 0.0000 0.0000 0.5000
Cd 0.0000 0.5000 0.0000
Cd 0.5000 0.0000 0.0000
Pb 0.0000 0.0000 0.0000
Cl 0.5000 0.5000 0.5000

***

Entry 19:
## Cd2PbCl (GGA-PBE)

Data for crystalline Cd2PbCl at its relaxed geometry.

Results
As for the final energy: -2.07 eV/atom. The value obtained for the density of states at the Fermi level is 1.37 states/eV per cell. The total magnetization is 0.00 μB per formula unit.

a b c (Å): 3.6471 4.9931 5.9417
angles (deg): 90.00 90.00 90.00
Fractional positions:
Cd 0.0000 0.0000 0.0000
Cd 0.5000 0.5000 0.4513
Pb 0.5000 0.5000 0.9494
Cl 0.0000 0.0000 0.4726

***

Entry 20:
## CdPb2Cl (GGA-PBE)

Data for crystalline CdPb2Cl at its relaxed geometry.

Results
As for the final energy: -2.69 eV/atom. The value obtained for the density of states at the Fermi level is 4.73 states/eV per cell. The total magnetization is 0.00 μB per formula unit.

a b c (Å): 4.4073 4.4073 12.0465
angles (deg): 90.00 90.00 90.00
Fractional positions:
Cd 0.0000 0.0000 0.0000
Cd 0.5000 0.5000 0.5000
Pb 0.0000 0.0000 0.5000
Pb 0.0000 0.5000 0.2500
Pb 0.5000 0.0000 0.7500
Pb 0.5000 0.5000 0.0000
Cl 0.0000 0.5000 0.7500
Cl 0.5000 0.0000 0.2500